(1)
VASP calculation (meta-GGA SCAN) on La2Ta3Se2O8 at its PBEsol-relaxed geometry.

Unit cell a=9.926 b=11.880 c=7.647 alpha=90.00 beta=90.00 gamma=90.00
Fractional coordinates of all 60 atoms:
La  0.209  0.158  0.000
La  0.228  0.150  0.500
La  0.272  0.650  0.000
La  0.291  0.658  0.500
La  0.709  0.342  0.500
La  0.728  0.350  0.000
La  0.772  0.850  0.500
La  0.791  0.842  0.000
Ta  0.000  0.500  0.286
Ta  0.000  0.500  0.714
Ta  0.136  0.917  0.250
Ta  0.136  0.917  0.750
Ta  0.364  0.417  0.250
Ta  0.364  0.417  0.750
Ta  0.500  0.000  0.214
Ta  0.500  0.000  0.786
Ta  0.636  0.583  0.250
Ta  0.636  0.583  0.750
Ta  0.864  0.083  0.250
Ta  0.864  0.083  0.750
Se  0.019  0.336  0.500
Se  0.025  0.364  0.000
Se  0.475  0.864  0.500
Se  0.481  0.836  0.000
Se  0.519  0.164  0.000
Se  0.525  0.136  0.500
Se  0.975  0.636  0.000
Se  0.981  0.664  0.500
O  0.057  0.101  0.255
O  0.057  0.101  0.745
O  0.134  0.947  0.000
O  0.150  0.950  0.500
O  0.197  0.523  0.266
O  0.197  0.523  0.734
O  0.212  0.775  0.248
O  0.212  0.775  0.752
O  0.288  0.275  0.252
O  0.288  0.275  0.748
O  0.303  0.023  0.234
O  0.303  0.023  0.766
O  0.350  0.450  0.000
O  0.366  0.447  0.500
O  0.443  0.601  0.245
O  0.443  0.601  0.755
O  0.557  0.399  0.245
O  0.557  0.399  0.755
O  0.634  0.553  0.500
O  0.650  0.550  0.000
O  0.697  0.977  0.234
O  0.697  0.977  0.766
O  0.712  0.725  0.252
O  0.712  0.725  0.748
O  0.788  0.225  0.248
O  0.788  0.225  0.752
O  0.803  0.477  0.266
O  0.803  0.477  0.734
O  0.850  0.050  0.500
O  0.866  0.053  0.000
O  0.943  0.899  0.255
O  0.943  0.899  0.745

Values from the calculation:
* energy: -1685.4 eV/cell
* E_form (uncorrected): -3025 meV per atom
* space-group type: Pnnm
* magnetic moment: 0.000 Bohr magnetons per cell

---

(2)
VASP calculation (meta-GGA SCAN) on Ca2YSe at its PBEsol-relaxed geometry.

Unit cell a=3.794 b=7.896 c=7.896 alpha=31.06 beta=90.00 gamma=90.00
Fractional coordinates of all 4 atoms:
Ca  0.000  0.000  0.000
Ca  0.500  0.339  0.339
Y  0.500  0.644  0.644
Se  0.000  0.796  0.796

Values from the calculation:
* energy: -70.7 eV/cell
* E_form (uncorrected): -854 meV per atom
* space-group type: Amm2
* magnetic moment: 1.157 Bohr magnetons per cell
* relative energy among the computed polymorphs: 0.001 eV per atom

---

(3)
VASP calculation (meta-GGA SCAN) on AlAg3 at its PBEsol-relaxed geometry.

Unit cell a=5.332 b=5.332 c=4.907 alpha=90.00 beta=90.00 gamma=87.44
Fractional coordinates of all 8 atoms:
Al  0.100  0.900  0.750
Al  0.900  0.100  0.250
Ag  0.042  0.607  0.250
Ag  0.393  0.958  0.250
Ag  0.440  0.560  0.750
Ag  0.560  0.440  0.250
Ag  0.607  0.042  0.750
Ag  0.958  0.393  0.750

Values from the calculation:
* energy: -203.1 eV/cell
* space-group type: Cmcm
* magnetic moment: 0.000 Bohr magnetons per cell

---

(4)
VASP calculation (meta-GGA SCAN) on CaBe2Ni at its PBEsol-relaxed geometry.

Unit cell a=3.666 b=3.666 c=4.237 alpha=90.00 beta=90.00 gamma=90.00
Fractional coordinates of all 4 atoms:
Ca  0.000  0.000  0.000
Be  0.000  0.500  0.500
Be  0.500  0.000  0.500
Ni  0.500  0.500  0.000

Values from the calculation:
* energy: -32.3 eV/cell
* space-group type: P4/mmm
* magnetic moment: 0.000 Bohr magnetons per cell
* relative energy among the computed polymorphs: 0.728 eV per atom